Run A
A plane-wave DFT calculation with PBE-GGA was carried out for Sr2Sb3 after structural relaxation.

Summary:
**DOS at the Fermi energy**: 4.6 states/eV per cell

The structure in POSCAR format:
```
Sr2Sb3
1.0
-1.2432 5.2666 -7.4682
-0.4340 0.7252 -9.1838
-4.9054 1.9799 -7.5547
Sr Sb
2 3
Cartesian
-2.6160 3.1680 -9.6199
-3.9666 4.8037 -14.5868
0.0000 0.0000 0.0000
-5.3712 6.5047 -19.7519
-1.2114 1.4670 -4.4547
```

=====

Run B
A plane-wave DFT calculation with PBE-GGA was carried out for Sr2Sb3 after structural relaxation.

Summary:
**DOS at the Fermi energy**: 5.7 states/eV per cell

The structure in POSCAR format:
```
Sr2Sb3
1.0
0.0000 5.2684 8.5698
3.6851 0.0000 8.5698
3.6851 5.2684 0.0000
Sr Sb
4 6
Cartesian
2.9365 7.3223 9.4189
2.9365 3.2145 7.7206
4.7791 9.9564 12.0055
4.7791 5.8487 13.7037
4.2973 4.2149 10.7179
4.2973 6.3218 6.4216
6.1399 6.8491 10.7065
6.1399 8.9560 15.0027
0.2728 5.2684 8.5698
2.1154 2.6342 4.2849
```

=====

It turns out run B is the most stable, with the second structure 69 meV/atom higher.